Record 1
Below is an optimized crystal structure of RbLaN2, with properties calculated at the PBE level.

Cell and atoms, written as POSCAR:
```
RbLaN2
1.0
2.316 1.337 7.284
-2.316 1.337 7.284
0.000 -2.674 7.284
Rb La N
1 1 2
Direct
0.000 0.000 0.000 Rb
0.500 0.500 0.500 La
0.413 0.413 0.413 N
0.587 0.587 0.587 N
```

=====

Record 2
Below is an optimized crystal structure of CuSbRu, with properties calculated at the PBE level.

Cell and atoms, written as POSCAR:
```
CuSbRu
1.0
-1.666 1.666 4.273
1.666 -1.666 4.273
1.666 1.666 -4.273
Cu Sb Ru
1 1 1
Direct
0.000 0.000 0.000 Cu
0.667 0.667 0.000 Sb
0.333 0.333 0.000 Ru
```

=====

Record 3
Below is an optimized crystal structure of CsHgS, with properties calculated at the PBE level.

Cell and atoms, written as POSCAR:
```
CsHgS
1.0
8.113 0.000 0.000
0.000 4.082 0.000
0.000 0.000 13.055
Cs Hg S
4 4 4
Direct
0.121 0.250 0.153 Cs
0.379 0.750 0.653 Cs
0.621 0.250 0.347 Cs
0.879 0.750 0.847 Cs
0.109 0.250 0.448 Hg
0.391 0.750 0.948 Hg
0.609 0.250 0.052 Hg
0.891 0.750 0.552 Hg
0.225 0.250 0.867 S
0.275 0.750 0.367 S
0.725 0.250 0.633 S
0.775 0.750 0.133 S
```

=====

Number 1: formation energy from raw total energies 559 meV per atom, energy above the most stable polymorph in this dataset 0.4958 eV per atom. Number 2: formation energy from raw total energies 88 meV per atom, energy above the most stable polymorph in this dataset 0.1191 eV per atom. Number 3: formation energy from raw total energies -540 meV per atom, energy above the most stable polymorph in this dataset 0.0339 eV per atom.